Entry 1:
The following is a PBE-GGA calculation of a relaxed Sm3Dy3Hg2 crystal, from the Alexandria database.

a b c (Å): 6.446 6.446 15.849
angles (deg): 90.00 90.00 132.34
Positions (direct):
Sm 0.040 0.960 0.608
Sm 0.040 0.960 0.892
Sm 0.283 0.717 0.750
Sm 0.717 0.283 0.250
Sm 0.960 0.040 0.108
Sm 0.960 0.040 0.392
Dy 0.358 0.642 0.534
Dy 0.358 0.642 0.966
Dy 0.430 0.570 0.250
Dy 0.570 0.430 0.750
Dy 0.642 0.358 0.034
Dy 0.642 0.358 0.466
Hg 0.229 0.771 0.127
Hg 0.229 0.771 0.373
Hg 0.771 0.229 0.627
Hg 0.771 0.229 0.873

**Space-group type**: Cmcm, No. 63
**Calculated formation energy**: -133 kJ/mol of formula units
**DFT total energy**: -3.744 eV per atom
**Size of the total moment**: 0.0 μB/f.u.

Entry 2:
The following is a PBE-GGA calculation of a relaxed Tb12Sm5Dy2 crystal, from the Alexandria database.

a b c (Å): 6.305 9.044 11.021
angles (deg): 87.08 82.03 88.01
Positions (direct):
Tb 0.004 0.175 0.388
Tb 0.103 0.826 0.945
Tb 0.148 0.143 0.751
Tb 0.318 0.705 0.341
Tb 0.426 0.335 0.951
Tb 0.484 0.659 0.729
Tb 0.516 0.341 0.271
Tb 0.574 0.665 0.049
Tb 0.682 0.295 0.659
Tb 0.852 0.857 0.249
Tb 0.897 0.174 0.055
Tb 0.996 0.825 0.612
Sm 0.225 0.444 0.557
Sm 0.375 0.015 0.155
Sm 0.500 0.000 0.500
Sm 0.625 0.985 0.845
Sm 0.775 0.556 0.443
Dy 0.045 0.504 0.156
Dy 0.955 0.496 0.844

**Space-group type**: P-1, No. 2
**Calculated formation energy**: 115 kJ/mol of formula units
**DFT total energy**: -4.588 eV per atom
**Relative energy among the computed polymorphs**: 0 meV per atom
**Size of the total moment**: 0.0 μB/f.u.

Q: What is the formula in the second record?
A: Tb12Sm5Dy2

Copy entry 1 word for word.
The following is a PBE-GGA calculation of a relaxed Sm3Dy3Hg2 crystal, from the Alexandria database.

a b c (Å): 6.446 6.446 15.849
angles (deg): 90.00 90.00 132.34
Positions (direct):
Sm 0.040 0.960 0.608
Sm 0.040 0.960 0.892
Sm 0.283 0.717 0.750
Sm 0.717 0.283 0.250
Sm 0.960 0.040 0.108
Sm 0.960 0.040 0.392
Dy 0.358 0.642 0.534
Dy 0.358 0.642 0.966
Dy 0.430 0.570 0.250
Dy 0.570 0.430 0.750
Dy 0.642 0.358 0.034
Dy 0.642 0.358 0.466
Hg 0.229 0.771 0.127
Hg 0.229 0.771 0.373
Hg 0.771 0.229 0.627
Hg 0.771 0.229 0.873

**Space-group type**: Cmcm, No. 63
**Calculated formation energy**: -133 kJ/mol of formula units
**DFT total energy**: -3.744 eV per atom
**Size of the total moment**: 0.0 μB/f.u.